# 1
Here is a relaxed ZrTlAg2 crystal from Alexandria via LeMat-Bulk. Energies are from PBE.

## Properties
Space-group type = No. 122
V = 183.3 Å³ per cell
Calculated formation energy = 0.3499 eV/atom
Density of states at the Fermi level = 9.17 states/eV/cell

abc: 6.308 6.308 6.308
angles: 102.61 102.61 124.28
Positions (direct):
Zr 0.000 0.000 0.000
Zr 0.750 0.250 0.500
Tl 0.250 0.750 0.500
Tl 0.500 0.500 0.000
Ag 0.125 0.625 0.000
Ag 0.375 0.375 0.500
Ag 0.625 0.125 0.000
Ag 0.875 0.875 0.500

# 2
Here is a relaxed ZrTlAg crystal from Alexandria via LeMat-Bulk. Energies are from PBE.

## Properties
Space-group type = No. 6
V = 129.9 Å³ per cell
Calculated formation energy = 0.0445 eV/atom
Density of states at the Fermi level = 4.43 states/eV/cell

abc: 3.093 4.496 9.459
angles: 90.00 99.18 90.00
Positions (direct):
Zr 0.000 0.000 0.000
Zr 0.172 0.000 0.349
Tl 0.579 0.500 0.161
Tl 0.753 0.500 0.510
Ag 0.412 0.500 0.829
Ag 0.840 0.000 0.692

# 3
Here is a relaxed ZrTlAg crystal from Alexandria via LeMat-Bulk. Energies are from PBE.

## Properties
Space-group type = No. 63
V = 129.5 Å³ per cell
Calculated formation energy = 0.0309 eV/atom
Density of states at the Fermi level = 3.77 states/eV/cell

abc: 6.830 6.830 4.507
angles: 90.00 90.00 141.97
Positions (direct):
Zr 0.250 0.750 0.750
Zr 0.750 0.250 0.250
Tl 0.083 0.917 0.250
Tl 0.917 0.083 0.750
Ag 0.414 0.586 0.250
Ag 0.586 0.414 0.750

# 4
Here is a relaxed ZrTlAg2 crystal from Alexandria via LeMat-Bulk. Energies are from PBE.

## Properties
Space-group type = No. 44
V = 83.9 Å³ per cell
Calculated formation energy = 0.1485 eV/atom
Density of states at the Fermi level = 3.50 states/eV/cell

abc: 5.873 5.873 5.873
angles: 147.80 128.28 62.24
Positions (direct):
Zr 0.000 0.000 0.000
Tl 0.739 0.239 0.500
Ag 0.261 0.761 0.500
Ag 0.498 0.498 0.000

# 5
Here is a relaxed ZrTlAg crystal from Alexandria via LeMat-Bulk. Energies are from PBE.

## Properties
Space-group type = No. 107
V = 65.0 Å³ per cell
Calculated formation energy = 0.0530 eV/atom
Density of states at the Fermi level = 2.83 states/eV/cell

abc: 6.554 6.554 6.554
angles: 151.24 151.24 41.13
Positions (direct):
Zr 0.000 0.000 0.000
Tl 0.325 0.325 0.000
Ag 0.659 0.659 0.000

# 6
Here is a relaxed ZrTlAg2 crystal from Alexandria via LeMat-Bulk. Energies are from PBE.

## Properties
Space-group type = No. 139
V = 82.1 Å³ per cell
Calculated formation energy = 0.0659 eV/atom
Density of states at the Fermi level = 2.11 states/eV/cell

abc: 5.163 5.163 5.163
angles: 128.42 128.42 75.94
Positions (direct):
Zr 0.000 0.000 0.000
Tl 0.500 0.500 0.000
Ag 0.250 0.750 0.500
Ag 0.750 0.250 0.500

Number 1: theoretical density 9263 kg/m³. Number 2: theoretical density 10318 kg/m³. Number 3: theoretical density 10345 kg/m³. Number 4: theoretical density 10119 kg/m³. Number 5: theoretical density 10301 kg/m³. Number 6: theoretical density 10339 kg/m³.